The following is a DFT calculation (PBE-GGA) of crystalline Pa2TeSe3 at its relaxed geometry.

Unit cell a=5.782 b=7.514 c=8.061 alpha=105.57 beta=90.00 gamma=112.63
Fractional coordinates of all 12 atoms:
Pa1 0.360 0.722 0.430
Pa2 0.362 0.722 0.930
Pa3 0.638 0.278 0.070
Pa4 0.640 0.278 0.570
Te1 0.223 0.000 0.250
Te2 0.777 0.000 0.750
Se1 0.277 0.000 0.750
Se2 0.723 0.000 0.250
Se3 0.797 0.593 0.898
Se4 0.203 0.407 0.602
Se5 0.797 0.593 0.398
Se6 0.203 0.407 0.102

Output
Energy relative to the elements, uncorrected ... -1211.4 meV/atom
Energy relative to the lowest polymorph listed for this composition ... 0 meV per atom